Computed, not measured: an optimized crystal structure of GaNiAgRh at the GGA-PBE level of DFT.

a = 4.327 Å, b = 4.327 Å, c = 4.327 Å
α = 60.00°, β = 60.00°, γ = 60.00°
Sites, in units of the cell vectors:
Ni 0.250 0.250 0.250
Rh 0.750 0.750 0.750
Ga 0.500 0.500 0.500
Ag 0.000 0.000 0.000

Summary:
ΔH_f (0 K), meV per atom: -133
Space-group type: No. 216
Volume, A^3/atom: 14.3
Mass density, kg/m³: 9835